Record 1
# Tb9Er11Sc4

Crystalline Tb9Er11Sc4 at its relaxed geometry (PBE, the Alexandria database).

Cell lengths 16.3947, 24.7888, 3.5871 Å; angles 90.00, 90.00, 90.00 degrees
Space group Cmmm (No. 65)
Unique sites:
Tb (0.0000, 0.0000, 0.0000) x2
Tb (0.1032, 0.2315, 0.0000) x8
Tb (0.1445, 0.4276, 0.0000) x8
Er (0.0000, 0.1297, 0.5000) x4
Er (0.0000, 0.3401, 0.5000) x4
Er (0.0000, 0.5000, 0.5000) x2
Er (0.2024, 0.0000, 0.5000) x4
Er (0.2270, 0.3199, 0.5000) x8
Sc (0.1555, 0.1013, 0.0000) x8

Results
For the total energy, the calculation gives -4.8398 eV per atom. Its crystal system is orthorhombic. For the density of states at the Fermi level, the calculation gives 64.691 states/eV per cell. The calculation puts the formation energy at 0.043 eV per atom.

***

Record 2
# Tb4Er3Sc5

Crystalline Tb4Er3Sc5 at its relaxed geometry (PBE, the Alexandria database).

Cell lengths 15.3794, 5.6643, 9.2471 Å; angles 90.00, 119.78, 90.00 degrees
Space group C2/m (No. 12)
Unique sites:
Tb (0.0874, 0.0000, 0.4462) x4
Tb (0.2106, 0.0000, 0.8832) x4
Er (0.0000, 0.5000, 0.0000) x2
Er (0.2281, 0.0000, 0.2604) x4
Sc (0.0000, 0.0000, 0.0000) x2
Sc (0.0612, 0.5000, 0.7029) x4
Sc (0.1670, 0.5000, 0.3614) x4

Results
For the total energy, the calculation gives -5.0798 eV per atom. Its crystal system is monoclinic. For the density of states at the Fermi level, the calculation gives 39.156 states/eV per cell. The calculation puts the formation energy at 0.242 eV per atom.

***

Question: Which of these has the lowest total energy?
Answer: Tb4Er3Sc5

***

Question: Look up the total energy of the first one.
Answer: -4.8398 eV per atom